(1)
Entry from Alexandria via LeMat-Bulk: crystalline CoIrS at its relaxed geometry (PBE).

Energy relative to the elements, uncorrected ... 0.260 eV per atom
Magnetic moment ... 3.19 Bohr magnetons per cell
E above lowest polymorph ... 92.2 kJ/mol of formula units
Space-group type ... No. 38

Unit cell a=9.3115 b=3.6694 c=3.6694 alpha=45.26 beta=90.00 gamma=90.00
Last column: nearest neighbours and their distance in Å.
Element x y z (fractional)
Co: 0.0000 0.0000 0.0000  6 S 2.36-2.45
Co: 0.5000 0.0826 0.0826  6 Ir 2.42-2.48
Ir: 0.3453 0.7955 0.7955  2 S 2.33, 3 Co 2.42-2.48
Ir: 0.6547 0.7955 0.7955  2 S 2.33, 3 Co 2.42-2.48
S: 0.1463 0.2840 0.2840  2 Ir 2.33, 3 Co 2.36-2.45
S: 0.8537 0.2840 0.2840  2 Ir 2.33, 3 Co 2.36-2.45

***

(2)
Entry from Alexandria via LeMat-Bulk: crystalline CoIrS at its relaxed geometry (PBE).

Energy relative to the elements, uncorrected ... -0.059 eV per atom
Magnetic moment ... 0.00 Bohr magnetons per cell
E above lowest polymorph ... 0.0 kJ/mol of formula units
Space-group type ... No. 6

Unit cell a=3.7018 b=2.8994 c=7.8740 alpha=90.00 beta=98.39 gamma=90.00
Last column: nearest neighbours and their distance in Å.
Element x y z (fractional)
Co: 0.0000 0.0000 0.0000  2 S 2.13
Co: 0.2875 0.5000 0.2749  4 S 2.12-2.14
Ir: 0.4623 0.5000 0.8497  1 S 2.36, 2 Co 2.60
Ir: 0.9222 0.0000 0.6702  2 S 2.36-2.41, 1 Co 2.57
S: 0.3539 0.0000 0.4769  2 Co 2.14, 1 Ir 2.36
S: 0.7424 0.5000 0.1392  4 Co 2.12-2.14, 1 Ir 2.36

***

(3)
Entry from Alexandria via LeMat-Bulk: crystalline Ta2CoIrS at its relaxed geometry (PBE).

Energy relative to the elements, uncorrected ... 1.475 eV per atom
Magnetic moment ... 1.64 Bohr magnetons per cell
Space-group type ... No. 123

Unit cell a=4.9310 b=4.9310 c=4.3619 alpha=90.00 beta=90.00 gamma=90.00
Last column: nearest neighbours and their distance in Å.
Element x y z (fractional)
Ta: 0.0000 0.5000 0.0000  2 Ir 2.47
Ta: 0.5000 0.0000 0.0000  2 Ir 2.47
Co: 0.0000 0.0000 0.5000  8 Ta 3.29, 4 S 3.49
Ir: 0.5000 0.5000 0.0000  2 S 2.18
S: 0.5000 0.5000 0.5000  2 Ir 2.18

***

(4)
Entry from Alexandria via LeMat-Bulk: crystalline CoTeIrS2 at its relaxed geometry (PBE).

Energy relative to the elements, uncorrected ... 1.711 eV per atom
Magnetic moment ... 4.27 Bohr magnetons per cell
E above lowest polymorph ... 420.3 kJ/mol of formula units
Space-group type ... No. 123

Unit cell a=5.0481 b=5.0481 c=4.6824 alpha=90.00 beta=90.00 gamma=90.00
Last column: nearest neighbours and their distance in Å.
Element x y z (fractional)
Co: 0.0000 0.0000 0.0000  2 Te 2.34
Te: 0.0000 0.0000 0.5000  2 Co 2.34, 4 S 2.52
Ir: 0.5000 0.5000 0.0000  8 S 3.44, 4 Co 3.57
S: 0.0000 0.5000 0.5000  2 Te 2.52
S: 0.5000 0.0000 0.5000  2 Te 2.52

***

(5)
Entry from Alexandria via LeMat-Bulk: crystalline CoTeIrS2 at its relaxed geometry (PBE).

Energy relative to the elements, uncorrected ... 0.840 eV per atom
Magnetic moment ... 2.22 Bohr magnetons per cell
E above lowest polymorph ... 0.0 kJ/mol of formula units
Space-group type ... No. 123

Unit cell a=4.4774 b=4.4774 c=5.8434 alpha=90.00 beta=90.00 gamma=90.00
Last column: nearest neighbours and their distance in Å.
Element x y z (fractional)
Co: 0.0000 0.0000 0.0000  4 Te 3.17
Te: 0.5000 0.5000 0.0000  2 Ir 2.92, 4 Co 3.17
Ir: 0.5000 0.5000 0.5000  4 S 2.24
S: 0.0000 0.5000 0.5000  2 Ir 2.24
S: 0.5000 0.0000 0.5000  2 Ir 2.24

***

(6)
Entry from Alexandria via LeMat-Bulk: crystalline Th6CoIr2S3 at its relaxed geometry (PBE).

Energy relative to the elements, uncorrected ... -1.238 eV per atom
Magnetic moment ... 0.00 Bohr magnetons per cell
Space-group type ... No. 12

Unit cell a=9.3516 b=9.3516 c=8.5201 alpha=106.83 beta=106.83 gamma=25.16
Last column: nearest neighbours and their distance in Å.
Element x y z (fractional)
Th: 0.0039 0.0039 0.2317  1 Ir 2.82, 2 Co 2.82, 3 S 3.01-3.08
Th: 0.3291 0.3291 0.4251  3 Ir 2.85-2.88, 3 S 2.99-3.02
Th: 0.3430 0.3430 0.9110  1 Co 2.74, 2 Ir 2.88, 2 S 3.02
Th: 0.6570 0.6570 0.0890  1 Co 2.74, 2 Ir 2.88, 2 S 3.02
Th: 0.6709 0.6709 0.5749  3 Ir 2.85-2.88, 3 S 2.99-3.02
Th: 0.9961 0.9961 0.7683  1 Ir 2.82, 2 Co 2.82, 3 S 3.01-3.08
Co: 0.5000 0.5000 0.0000  6 Th 2.74-2.82
Ir: 0.1658 0.1658 0.3323  6 Th 2.82-2.88
Ir: 0.8342 0.8342 0.6677  6 Th 2.82-2.88
S: 0.1675 0.1675 0.8345  6 Th 3.01-3.07
S: 0.5000 0.5000 0.5000  6 Th 2.99-3.08
S: 0.8325 0.8325 0.1655  6 Th 3.01-3.07

***

(7)
Entry from Alexandria via LeMat-Bulk: crystalline TlCoIrS3 at its relaxed geometry (PBE).

Energy relative to the elements, uncorrected ... -0.334 eV per atom
Magnetic moment ... 2.88 Bohr magnetons per cell
Space-group type ... No. 11

Unit cell a=8.0065 b=3.6176 c=9.2900 alpha=90.00 beta=115.18 gamma=90.00
Last column: nearest neighbours and their distance in Å.
Element x y z (fractional)
Tl: 0.2483 0.2500 0.2230  7 S 3.24-3.61, 2 Tl 3.62
Tl: 0.7517 0.7500 0.7770  7 S 3.24-3.61, 2 Tl 3.62
Co: 0.4142 0.2500 0.8941  4 S 2.21-2.22
Co: 0.5858 0.7500 0.1059  4 S 2.21-2.22
Ir: 0.1850 0.7500 0.6590  6 S 2.40-2.43
Ir: 0.8150 0.2500 0.3410  6 S 2.40-2.43
S: 0.0266 0.7500 0.3739  3 Ir 2.40-2.41
S: 0.2884 0.7500 0.9462  3 Co 2.21-2.22, 1 Ir 2.43
S: 0.3808 0.2500 0.6459  1 Co 2.21, 2 Ir 2.43
S: 0.6192 0.7500 0.3541  1 Co 2.21, 2 Ir 2.43
S: 0.7116 0.2500 0.0538  3 Co 2.21-2.22, 1 Ir 2.43
S: 0.9734 0.2500 0.6261  3 Ir 2.40-2.41

***

(8)
Entry from Alexandria via LeMat-Bulk: crystalline Co2SbIr at its relaxed geometry (PBE).

Energy relative to the elements, uncorrected ... 0.189 eV per atom
Magnetic moment ... 1.59 Bohr magnetons per cell
Space-group type ... No. 65

Unit cell a=4.4947 b=4.4947 c=2.8989 alpha=90.00 beta=90.00 gamma=106.82
Last column: nearest neighbours and their distance in Å.
Element x y z (fractional)
Co: 0.0000 0.5000 0.0000  4 Ir 2.67, 4 Sb 2.67, 4 Co 2.68-2.90
Co: 0.5000 0.0000 0.0000  4 Ir 2.67, 4 Sb 2.67, 4 Co 2.68-2.90
Sb: 0.0000 0.0000 0.5000  8 Co 2.67, 2 Ir 2.68, 2 Sb 2.90
Ir: 0.5000 0.5000 0.5000  8 Co 2.67, 2 Sb 2.68, 2 Ir 2.90